# 1
Zr7TlIn3: relaxed, PBE.

**Energy of formation from the pure elements**: 0.12 eV/atom
**Uncorrected energy**: -6.28 eV/atom
**SG**: C2/m (12)
**Magnetic moment**: 0.0 μB/f.u.

Unit cell a=5.371 b=7.583 c=7.583 alpha=87.70 beta=110.94 gamma=110.94
Fractional coordinates of all 11 atoms:
Zr: 0.000 0.500 0.500
Zr: 0.313 0.036 0.589
Zr: 0.806 0.811 0.811
Zr: 0.687 0.964 0.411
Zr: 0.687 0.411 0.964
Zr: 0.313 0.589 0.036
Zr: 0.194 0.189 0.189
In: 0.000 0.225 0.775
In: 0.000 0.775 0.225
In: 0.500 0.000 0.000
Tl: 0.500 0.500 0.500

=====

# 2
Zr4Al3C6: relaxed, PBE.

**Energy of formation from the pure elements**: -0.57 eV/atom
**Uncorrected energy**: -8.32 eV/atom
**SG**: P6_3/mmc (194)
**Magnetic moment**: 0.0 μB/f.u.

Unit cell a=3.362 b=3.362 c=33.166 alpha=90.00 beta=90.00 gamma=120.00
Fractional coordinates of all 26 atoms:
Zr: 0.667 0.333 0.960
Zr: 0.000 0.000 0.621
Zr: 0.333 0.667 0.040
Zr: 0.667 0.333 0.540
Zr: 0.000 0.000 0.879
Zr: 0.000 0.000 0.379
Zr: 0.333 0.667 0.460
Zr: 0.000 0.000 0.121
Al: 0.333 0.667 0.811
Al: 0.667 0.333 0.750
Al: 0.667 0.333 0.311
Al: 0.667 0.333 0.189
Al: 0.333 0.667 0.250
Al: 0.333 0.667 0.689
C: 0.000 0.000 0.500
C: 0.333 0.667 0.750
C: 0.000 0.000 0.000
C: 0.333 0.667 0.332
C: 0.333 0.667 0.168
C: 0.667 0.333 0.250
C: 0.667 0.333 0.417
C: 0.333 0.667 0.583
C: 0.333 0.667 0.917
C: 0.667 0.333 0.832
C: 0.667 0.333 0.083
C: 0.667 0.333 0.668